Density functional theory data (PBE) for a geometry-optimized Zr2C structure.

Geometry as POSCAR:
```
Zr2C
1.0
5.826 -1.615 0.000
5.826 1.615 0.000
-2.305 0.000 5.422
Zr C
4 2
direct
0.004 0.004 0.245
0.265 0.265 0.240
0.735 0.735 0.760
0.996 0.996 0.755
0.374 0.374 0.977
0.626 0.626 0.023
```

## Properties
N(E_F), states/eV per cell: 3.21

=====

Density functional theory data (PBE) for a geometry-optimized ZrC5 structure.

Geometry as POSCAR:
```
ZrC5
1.0
2.239 -4.502 0.000
2.239 4.502 0.000
0.000 0.000 2.544
Zr C
1 5
direct
0.000 0.000 0.000
0.248 0.752 0.500
0.332 0.668 0.000
0.500 0.500 0.500
0.668 0.332 0.000
0.752 0.248 0.500
```

## Properties
N(E_F), states/eV per cell: 1.66

=====

Density functional theory data (PBE) for a geometry-optimized Zr4C3 structure.

Geometry as POSCAR:
```
Zr4C3
1.0
4.707 0.000 0.000
0.000 4.707 0.000
0.000 0.000 4.707
Zr C
4 3
direct
0.000 0.000 0.000
0.000 0.500 0.500
0.500 0.000 0.500
0.500 0.500 0.000
0.000 0.000 0.500
0.000 0.500 0.000
0.500 0.000 0.000
```

## Properties
N(E_F), states/eV per cell: 1.36

=====

no.,formation energy from the elements (eV per atom),electronic total energy (eV for the cell shown),total moment (μB per cell)
1,-0.2929,-54.398,0.0
2,1.5587,-45.315,0.0
3,-0.6547,-66.447,0.0